Entry i
The following is a DFT calculation (PBE-GGA) of a geometry-optimized ZrBe3Cd structure.

POSCAR file:
```
ZrBe3Cd
1.0
4.718 0.000 0.000
0.000 4.718 0.000
0.000 0.000 4.718
Be Zr Cd
3 1 1
Direct
0.000 0.500 0.000
0.000 0.000 0.500
0.500 0.000 0.000
0.000 0.000 0.000
0.500 0.500 0.500
```

Output
Magnetization = 0.00 μB per atom

Entry ii
The following is a DFT calculation (PBE-GGA) of a geometry-optimized ZrBe3Cd structure.

POSCAR file:
```
ZrBe3Cd
1.0
-1.858 -3.872 -0.173
3.090 -1.364 -2.657
2.339 -1.273 3.374
Be Zr Cd
3 1 1
Direct
0.000 0.500 0.000
0.000 0.000 0.500
0.500 0.000 0.000
0.500 0.500 0.500
0.000 0.000 0.000
```

Output
Magnetization = 0.00 μB per atom

Question: which arrangement is favored energetically? Ranking from most to least stable: entry ii, entry i.

Entry i
The following is a DFT calculation (PBE-GGA) of a geometry-optimized CeBeCo structure.

POSCAR file:
```
CeBeCo
1.0
6.088 0.000 0.000
0.000 6.088 0.000
0.000 0.000 5.559
Co Be Ce
4 4 4
Direct
0.443 0.443 0.000
0.557 0.557 0.500
0.057 0.943 0.250
0.943 0.057 0.750
0.692 0.308 0.750
0.808 0.808 0.500
0.192 0.192 0.000
0.308 0.692 0.250
0.745 0.255 0.250
0.755 0.755 0.000
0.245 0.245 0.500
0.255 0.745 0.750
```

Output
Magnetization = 0.00 μB per atom

Entry ii
The following is a DFT calculation (PBE-GGA) of a geometry-optimized CeBeCo structure.

POSCAR file:
```
CeBeCo
1.0
-3.227 -1.757 0.574
1.042 -0.703 3.705
-1.943 3.275 -0.897
Be Co Ce
1 1 1
Direct
0.167 0.000 0.000
0.167 0.667 0.333
0.667 0.333 0.667
```

Output
Magnetization = 0.00 μB per atom

Question: which arrangement is favored energetically? Ranking from most to least stable: entry ii, entry i.

Entry i
The following is a DFT calculation (PBE-GGA) of a geometry-optimized CeBeCo structure.

POSCAR file:
```
CeBeCo
1.0
3.060 0.000 0.000
0.000 3.060 0.000
-1.530 -1.530 4.812
Be Co Ce
1 1 1
Direct
0.999 0.999 0.998
0.559 0.559 0.118
0.292 0.292 0.584
```

Output
Magnetization = 0.22 μB per atom

Entry ii
The following is a DFT calculation (PBE-GGA) of a geometry-optimized CeBeCo structure.

POSCAR file:
```
CeBeCo
1.0
5.425 0.000 -1.062
0.000 5.796 0.000
0.337 0.000 6.240
Ce Be Co
4 4 4
Direct
0.290 0.865 0.092
0.790 0.635 0.592
0.710 0.135 0.908
0.210 0.365 0.408
0.217 0.361 0.887
0.783 0.639 0.113
0.283 0.861 0.613
0.717 0.139 0.387
0.501 0.380 0.176
0.499 0.620 0.824
0.001 0.120 0.676
0.999 0.880 0.324
```

Output
Magnetization = 0.00 μB per atom

Question: which arrangement is favored energetically? Ranking from most to least stable: entry ii, entry i.

Entry i
The following is a DFT calculation (PBE-GGA) of a geometry-optimized Ce3Be2Ge3 structure.

POSCAR file:
```
Ce3Be2Ge3
1.0
4.047 0.000 0.000
-2.024 5.532 0.000
0.000 0.000 14.133
Ce Be Ge
6 4 6
Direct
0.946 0.892 0.401
0.054 0.108 0.901
0.946 0.892 0.099
0.054 0.108 0.599
0.648 0.296 0.250
0.352 0.704 0.750
0.764 0.528 0.895
0.236 0.472 0.395
0.764 0.528 0.605
0.236 0.472 0.105
0.655 0.310 0.456
0.345 0.690 0.956
0.655 0.310 0.044
0.345 0.690 0.544
0.359 0.717 0.250
0.641 0.283 0.750
```

Output
Magnetization = 0.27 μB per atom

Entry ii
The following is a DFT calculation (PBE-GGA) of a geometry-optimized Ce3Be2Ge3 structure.

POSCAR file:
```
Ce3Be2Ge3
1.0
-2.694 -2.036 2.045
2.676 -3.512 -3.783
10.417 -3.301 10.434
Ce Be Ge
6 4 6
Direct
0.852 0.704 0.405
0.148 0.296 0.905
0.852 0.704 0.095
0.148 0.296 0.595
0.541 0.082 0.250
0.459 0.918 0.750
0.863 0.725 0.879
0.137 0.275 0.379
0.863 0.725 0.621
0.137 0.275 0.121
0.581 0.162 0.442
0.419 0.838 0.942
0.581 0.162 0.058
0.419 0.838 0.558
0.261 0.522 0.250
0.739 0.478 0.750
```

Output
Magnetization = 0.25 μB per atom

Question: which arrangement is favored energetically? Ranking from most to least stable: entry ii, entry i.

Entry i
The following is a DFT calculation (PBE-GGA) of a geometry-optimized Ce3Be2Ge4 structure.

POSCAR file:
```
Ce3Be2Ge4
1.0
-1.078 0.067 -3.877
3.257 -4.750 1.101
-7.245 -3.214 1.959
Ce Be Ge
3 2 4
Direct
0.664 0.327 0.666
0.000 0.000 0.000
0.336 0.673 0.334
0.609 0.218 0.283
0.391 0.782 0.717
0.713 0.426 0.069
0.287 0.574 0.931
0.936 0.872 0.619
0.064 0.128 0.381
```

Output
Magnetization = 0.25 μB per atom

Entry ii
The following is a DFT calculation (PBE-GGA) of a geometry-optimized Ce3Be2Ge4 structure.

POSCAR file:
```
Ce3Be2Ge4
1.0
-2.343 2.397 2.377
-2.227 -5.455 -0.246
6.153 0.432 5.628
Ce Be Ge
3 2 4
Direct
0.609 0.218 0.671
0.000 0.000 0.000
0.391 0.782 0.329
0.683 0.366 0.326
0.317 0.634 0.674
0.720 0.439 0.069
0.280 0.561 0.931
0.881 0.763 0.602
0.119 0.237 0.398
```

Output
Magnetization = 0.25 μB per atom

Question: which arrangement is favored energetically? Ranking from most to least stable: entry i, entry ii.

Entry i
The following is a DFT calculation (PBE-GGA) of a geometry-optimized CeBeIn structure.

POSCAR file:
```
CeBeIn
1.0
4.603 0.000 0.000
2.301 3.986 0.000
2.301 1.329 3.758
Be Ce In
1 1 1
Direct
0.250 0.250 0.250
0.500 0.500 0.500
0.000 0.000 0.000
```

Output
Magnetization = 0.28 μB per atom

Entry ii
The following is a DFT calculation (PBE-GGA) of a geometry-optimized CeBeIn structure.

POSCAR file:
```
CeBeIn
1.0
6.493 0.000 0.000
0.000 6.493 0.000
0.000 0.000 6.493
In Be Ce
4 4 4
Direct
0.326 0.674 0.174
0.174 0.326 0.674
0.674 0.174 0.326
0.826 0.826 0.826
0.459 0.459 0.459
0.041 0.541 0.959
0.959 0.041 0.541
0.541 0.959 0.041
0.176 0.176 0.176
0.676 0.324 0.824
0.324 0.824 0.676
0.824 0.676 0.324
```

Output
Magnetization = 0.26 μB per atom

Question: which arrangement is favored energetically? Ranking from most to least stable: entry i, entry ii.

Entry i
The following is a DFT calculation (PBE-GGA) of a geometry-optimized CeBeIr2 structure.

POSCAR file:
```
CeBeIr2
1.0
4.002 0.000 0.000
0.000 3.941 -0.962
0.000 0.019 8.632
Ce Be Ir
2 2 4
Direct
0.000 0.862 0.724
0.000 0.138 0.276
0.500 0.569 0.139
0.500 0.431 0.861
0.000 0.500 0.000
0.500 0.000 0.000
0.500 0.703 0.406
0.500 0.297 0.594
```

Output
Magnetization = 0.00 μB per atom

Entry ii
The following is a DFT calculation (PBE-GGA) of a geometry-optimized CeBeIr2 structure.

POSCAR file:
```
CeBeIr2
1.0
-2.564 -2.872 -0.717
1.132 -3.189 -1.970
0.834 -4.299 3.546
Be Ir Ce
1 2 1
Direct
0.500 0.500 0.500
0.783 0.783 0.650
0.217 0.217 0.350
0.000 0.000 0.000
```

Output
Magnetization = 0.00 μB per atom

Question: which arrangement is favored energetically? Ranking from most to least stable: entry i, entry ii.

Entry i
The following is a DFT calculation (PBE-GGA) of a geometry-optimized CeBeN structure.

POSCAR file:
```
CeBeN
1.0
-2.480 0.960 -2.825
-2.984 -0.832 2.336
2.709 3.020 1.313
Be Ce N
1 1 1
Direct
0.013 0.013 0.027
0.594 0.594 0.188
0.242 0.242 0.485
```

Output
Magnetization = 0.08 μB per atom

Entry ii
The following is a DFT calculation (PBE-GGA) of a geometry-optimized CeBeN structure.

POSCAR file:
```
CeBeN
1.0
3.036 0.000 0.000
0.000 7.058 0.000
0.000 0.000 7.058
Be Ce N
4 4 4
Direct
0.500 0.884 0.147
0.500 0.116 0.853
0.000 0.147 0.116
0.000 0.853 0.884
0.500 0.799 0.549
0.000 0.451 0.799
0.000 0.549 0.201
0.500 0.201 0.451
0.500 0.245 0.062
0.000 0.938 0.245
0.000 0.062 0.755
0.500 0.755 0.938
```

Output
Magnetization = 0.24 μB per atom

Question: which arrangement is favored energetically? Ranking from most to least stable: entry ii, entry i.

Entry i
The following is a DFT calculation (PBE-GGA) of a geometry-optimized CeBe3P3 structure.

POSCAR file:
```
CeBe3P3
1.0
-1.377 -2.411 2.557
-4.749 -3.832 -6.170
8.035 -2.820 1.669
Ce Be P
2 6 6
Direct
0.250 0.667 0.333
0.750 0.333 0.667
0.250 0.600 0.947
0.250 0.053 0.653
0.250 0.347 0.400
0.750 0.400 0.053
0.750 0.947 0.347
0.750 0.653 0.600
0.250 0.090 0.403
0.250 0.597 0.687
0.250 0.313 0.910
0.750 0.910 0.597
0.750 0.403 0.313
0.750 0.687 0.090
```

Output
Magnetization = 0.12 μB per atom

Entry ii
The following is a DFT calculation (PBE-GGA) of a geometry-optimized CeBe3P3 structure.

POSCAR file:
```
CeBe3P3
1.0
6.066 0.000 0.000
0.000 6.066 0.000
0.000 0.000 6.066
P Ce Be
6 2 6
Direct
0.000 0.250 0.500
0.000 0.750 0.500
0.500 0.000 0.750
0.750 0.500 0.000
0.500 0.000 0.250
0.250 0.500 0.000
0.500 0.500 0.500
0.000 0.000 0.000
0.250 0.000 0.500
0.000 0.500 0.250
0.500 0.750 0.000
0.750 0.000 0.500
0.000 0.500 0.750
0.500 0.250 0.000
```

Output
Magnetization = 0.18 μB per atom

Question: which arrangement is favored energetically? Ranking from most to least stable: entry i, entry ii.

Entry i
The following is a DFT calculation (PBE-GGA) of a geometry-optimized CePa2Be structure.

POSCAR file:
```
CePa2Be
1.0
-0.236 -0.980 -2.893
-2.568 -1.375 -0.947
-4.915 8.617 -4.139
Be Pa Ce
1 2 1
Direct
0.500 0.500 0.500
0.096 0.096 0.713
0.904 0.904 0.287
0.000 0.000 0.000
```

Output
Magnetization = 0.00 μB per atom

Entry ii
The following is a DFT calculation (PBE-GGA) of a geometry-optimized CePa2Be structure.

POSCAR file:
```
CePa2Be
1.0
3.361 0.000 0.000
0.000 3.361 0.000
0.000 0.000 7.853
Be Pa Ce
1 2 1
Direct
0.500 0.500 0.000
0.000 0.000 0.806
0.000 0.000 0.194
0.500 0.500 0.500
```

Output
Magnetization = 0.00 μB per atom

Question: which arrangement is favored energetically? Ranking from most to least stable: entry ii, entry i.

Entry i
The following is a DFT calculation (PBE-GGA) of a geometry-optimized CeBePd structure.

POSCAR file:
```
CeBePd
1.0
-0.395 3.212 -1.936
1.646 -1.836 -3.382
-4.133 -0.121 0.643
Be Pd Ce
1 1 1
Direct
0.167 0.333 0.667
0.167 0.000 0.000
0.667 0.667 0.333
```

Output
Magnetization = 0.20 μB per atom

Entry ii
The following is a DFT calculation (PBE-GGA) of a geometry-optimized CeBePd structure.

POSCAR file:
```
CeBePd
1.0
-0.208 3.936 1.527
-4.955 1.441 1.462
1.131 0.278 5.288
Ce Pd Be
2 2 2
Direct
0.598 0.138 0.666
0.402 0.862 0.334
0.803 0.303 0.091
0.197 0.697 0.909
0.140 0.434 0.285
0.860 0.566 0.715
```

Output
Magnetization = 0.00 μB per atom

Question: which arrangement is favored energetically? Ranking from most to least stable: entry ii, entry i.

Entry i
The following is a DFT calculation (PBE-GGA) of a geometry-optimized CeBePt structure.

POSCAR file:
```
CeBePt
1.0
2.840 0.000 0.000
0.000 2.840 0.000
-1.420 -1.420 7.307
Be Pt Ce
1 1 1
Direct
0.933 0.933 0.866
0.785 0.785 0.571
0.132 0.132 0.263
```

Output
Magnetization = 0.00 μB per atom

Entry ii
The following is a DFT calculation (PBE-GGA) of a geometry-optimized CeBePt structure.

POSCAR file:
```
CeBePt
1.0
3.881 0.000 0.000
0.000 4.121 0.000
0.000 -2.061 3.569
Be Ce Pt
1 1 1
Direct
0.167 0.667 0.333
0.667 0.333 0.667
0.167 0.000 0.000
```

Output
Magnetization = 0.24 μB per atom

Question: which arrangement is favored energetically? Ranking from most to least stable: entry ii, entry i.